DyBeZn11, relaxed, DFT GGA-PBE; VASP energy = -1.88 eV/atom; calculated volume = 196.9 Å³/f.u.; density = 7.52 g/cm³; space group = C2/m; D(E_F) = 1.60 states/eV per cell; energy relative to the elements = -0.16 eV per atom
1.0
2.596 -6.159 0.000
2.596 6.159 0.000
-2.526 0.000 6.157
Dy Be Zn
1 1 11
Cartesian
0.000 0.000 0.000
1.333 0.000 3.079
-1.263 0.000 3.079
1.298 3.080 0.000
0.081 2.132 2.198
0.111 1.313 4.786
0.081 -2.132 2.198
2.555 1.313 1.371
1.298 -3.080 0.000
0.111 -1.313 4.786
2.585 2.132 3.959
2.555 -1.313 1.371
2.585 -2.132 3.959